(1)
Here is an optimized crystal structure of RbCr2O4 from Alexandria via LeMat-Bulk. Energies are from PBE+U.

Cell lengths 3.0678, 5.0918, 6.8612 Å; angles 105.37, 90.00, 90.00 degrees
Sites, in units of the cell vectors:
Rb  0.0000  0.0000  0.0000
Cr  0.0000  0.5000  0.5000
Cr  0.5000  0.0000  0.5000
O  0.5000  0.2697  0.3512
O  0.5000  0.7303  0.6488
O  0.0000  0.2112  0.6529
O  0.0000  0.7888  0.3471

Values from the calculation:
total energy: -6.864 eV per atom

(2)
Here is an optimized crystal structure of Rb2Cr2O7 from Alexandria via LeMat-Bulk. Energies are from PBE+U.

Cell lengths 7.8344, 7.8846, 14.0164 Å; angles 85.81, 90.00, 90.00 degrees
Sites, in units of the cell vectors:
Rb  0.7321  0.6974  0.3640
Rb  0.7679  0.1974  0.8640
Rb  0.8831  0.3622  0.1564
Rb  0.2679  0.3026  0.6360
Rb  0.3831  0.1378  0.3436
Rb  0.1169  0.6378  0.8436
Rb  0.2321  0.8026  0.1360
Rb  0.6169  0.8622  0.6564
Cr  0.3341  0.3164  0.0816
Cr  0.2169  0.6172  0.3903
Cr  0.8341  0.1836  0.4184
Cr  0.1659  0.8164  0.5816
Cr  0.7831  0.3828  0.6097
Cr  0.7169  0.8828  0.1097
Cr  0.6659  0.6836  0.9184
Cr  0.2831  0.1172  0.8903
O  0.0870  0.5646  0.3062
O  0.8565  0.7450  0.1555
O  0.3156  0.4497  0.4384
O  0.4080  0.2140  0.9788
O  0.6435  0.2450  0.6555
O  0.5027  0.6173  0.8599
O  0.1844  0.9497  0.9384
O  0.2756  0.6794  0.6508
O  0.5920  0.7860  0.0212
O  0.2244  0.1794  0.1508
O  0.7914  0.5236  0.9519
O  0.3565  0.7550  0.3445
O  0.4973  0.3827  0.1401
O  0.9973  0.1173  0.3599
O  0.4130  0.0646  0.8062
O  0.2914  0.9764  0.5481
O  0.7756  0.8206  0.8492
O  0.8156  0.0503  0.0616
O  0.7086  0.0236  0.4519
O  0.0920  0.7140  0.4788
O  0.0027  0.8827  0.6401
O  0.5870  0.9354  0.1938
O  0.9130  0.4354  0.6938
O  0.2086  0.4764  0.0481
O  0.6844  0.5503  0.5616
O  0.9080  0.2860  0.5212
O  0.7244  0.3206  0.3492
O  0.1435  0.2550  0.8445

Values from the calculation:
relative energy among the computed polymorphs: 0.000 eV per atom

(3)
Here is an optimized crystal structure of RbCrRe2O8 from Alexandria via LeMat-Bulk. Energies are from PBE+U.

Cell lengths 5.6515, 5.6515, 8.0576 Å; angles 90.00, 90.00, 120.00 degrees
Sites, in units of the cell vectors:
Rb  0.0000  0.0000  0.0000
Cr  0.0000  0.0000  0.5000
Re  0.6667  0.3333  0.2684
Re  0.3333  0.6667  0.7316
O  0.3333  0.6667  0.9497
O  0.3360  0.2543  0.3387
O  0.7457  0.0817  0.3387
O  0.6667  0.3333  0.0503
O  0.2543  0.9183  0.6613
O  0.6640  0.7457  0.6613
O  0.0817  0.3360  0.6613
O  0.9183  0.6640  0.3387

Values from the calculation:
total energy: -7.756 eV per atom

(4)
Here is an optimized crystal structure of RbCr2ReO from Alexandria via LeMat-Bulk. Energies are from PBE+U.

Cell lengths 5.5711, 5.5711, 4.1606 Å; angles 90.00, 90.00, 90.00 degrees
Sites, in units of the cell vectors:
Re  0.5000  0.5000  0.5000
O  0.0000  0.0000  0.5000
Rb  0.0000  0.0000  0.0000
Cr  0.0000  0.5000  0.0000
Cr  0.5000  0.0000  0.0000

Values from the calculation:
total energy: -4.608 eV per atom

(5)
Here is an optimized crystal structure of Rb2CrReO6 from Alexandria via LeMat-Bulk. Energies are from PBE+U.

Cell lengths 5.1629, 6.2574, 6.2574 Å; angles 120.00, 90.00, 90.00 degrees
Sites, in units of the cell vectors:
Rb  0.2593  0.3333  0.6667
Rb  0.7407  0.6667  0.3333
Cr  0.5000  0.0000  0.0000
Re  0.0000  0.0000  0.0000
O  0.7670  0.1373  0.2746
O  0.7670  0.1373  0.8627
O  0.7670  0.7254  0.8627
O  0.2330  0.8627  0.1373
O  0.2330  0.2746  0.1373
O  0.2330  0.8627  0.7254

Values from the calculation:
total energy: -6.840 eV per atom

(6)
Here is an optimized crystal structure of RbCrRhO6 from Alexandria via LeMat-Bulk. Energies are from PBE+U.

Cell lengths 5.1734, 5.1734, 6.2502 Å; angles 89.99, 90.01, 60.03 degrees
Sites, in units of the cell vectors:
Rb  0.9999  0.0000  0.0143
Cr  0.6666  0.6668  0.5212
Rh  0.3332  0.3333  0.4921
O  0.9812  0.4308  0.3240
O  0.3948  0.9864  0.6668
O  0.6188  0.3947  0.6667
O  0.9865  0.6188  0.6667
O  0.4308  0.5881  0.3241
O  0.5880  0.9813  0.3241

Values from the calculation:
total energy: -5.998 eV per atom

(7)
Here is an optimized crystal structure of Rb2CrRhO4 from Alexandria via LeMat-Bulk. Energies are from PBE+U.

Cell lengths 4.9222, 6.6363, 10.8272 Å; angles 85.16, 76.86, 68.23 degrees
Sites, in units of the cell vectors:
Rb  0.1731  0.0000  0.6539
Rb  0.8269  0.0000  0.3461
Rb  0.5769  0.5000  0.8461
Rb  0.9231  0.5000  0.1539
Cr  0.7500  0.5000  0.5000
Cr  0.0000  0.0000  0.0000
Rh  0.2500  0.5000  0.5000
Rh  0.5000  0.0000  0.0000
O  0.2216  0.8247  0.1002
O  0.1465  0.1753  0.8998
O  0.9537  0.8247  0.8998
O  0.6782  0.1753  0.1002
O  0.5284  0.6753  0.3998
O  0.6035  0.3247  0.6002
O  0.7963  0.6753  0.6002
O  0.0718  0.3247  0.3998

Values from the calculation:
total energy: -5.650 eV per atom

(8)
Here is an optimized crystal structure of RbCrRu2O8 from Alexandria via LeMat-Bulk. Energies are from PBE+U.

Cell lengths 5.2367, 5.2367, 8.3096 Å; angles 84.47, 84.47, 67.29 degrees
Sites, in units of the cell vectors:
Rb  0.0000  0.0000  0.5000
Cr  0.0000  0.0000  0.0000
Ru  0.6159  0.6159  0.1960
Ru  0.3841  0.3841  0.8040
O  0.7552  0.2375  0.8227
O  0.7670  0.7670  0.0283
O  0.6872  0.6872  0.3850
O  0.3128  0.3128  0.6150
O  0.2330  0.2330  0.9717
O  0.2375  0.7552  0.8227
O  0.7625  0.2448  0.1773
O  0.2448  0.7625  0.1773

Values from the calculation:
total energy: -6.667 eV per atom

Total magnetic moment readings, ordered: 5.0, 0.1, 5.1, 6.4, 3.0, 0.3, 1.0, 7.0 μB per formula unit